{"formula": "TaCo2Ni3", "functional": "PBE", "state": "optimized geometry", "formation_enthalpy_0k_ev_per_fu": -0.4, "dos_at_fermi_per_ev_fu": 8.67, "magnetic_moment_mub_per_atom": 0.434, "mass_density_g_cm3": 11.01, "crystal_system": "orthorhombic", "lattice": [[0.000, 3.616, 7.702], [2.571, 0.000, 7.702], [2.571, 3.616, 0.000]], "species": ["Ta", "Ta", "Co", "Co", "Co", "Co", "Ni", "Ni", "Ni", "Ni", "Ni", "Ni"], "frac_coords": [[0.125, 0.125, 0.125], [0.875, 0.875, 0.875], [0.044, 0.044, 0.706], [0.294, 0.294, 0.956], [0.706, 0.706, 0.044], [0.956, 0.956, 0.294], [0.214, 0.214, 0.536], [0.375, 0.375, 0.375], [0.464, 0.464, 0.786], [0.536, 0.536, 0.214], [0.625, 0.625, 0.625], [0.786, 0.786, 0.464]]}


{"formula": "TaCo3Ni", "functional": "PBE", "state": "optimized geometry", "formation_enthalpy_0k_ev_per_fu": 8.2, "dos_at_fermi_per_ev_fu": 12.58, "magnetic_moment_mub_per_atom": 0.439, "mass_density_g_cm3": 7.98, "crystal_system": "cubic", "de_polymorph_ev_per_atom": 1.277, "lattice": [[4.425, 0.000, 0.000], [0.000, 4.425, 0.000], [0.000, 0.000, 4.425]], "species": ["Ta", "Co", "Co", "Co", "Ni"], "frac_coords": [[0.000, 0.000, 0.000], [0.000, 0.000, 0.500], [0.000, 0.500, 0.000], [0.500, 0.000, 0.000], [0.500, 0.500, 0.500]]}


{"formula": "Ta2Co3Ni2", "functional": "PBE", "state": "optimized geometry", "formation_enthalpy_0k_ev_per_fu": -1.5, "dos_at_fermi_per_ev_fu": 6.79, "magnetic_moment_mub_per_atom": 0.242, "mass_density_g_cm3": 12.33, "crystal_system": "monoclinic", "lattice": [[4.146, -1.821, 0.000], [4.146, 1.821, 0.000], [-0.785, 0.000, 5.851]], "species": ["Ta", "Ta", "Co", "Co", "Co", "Ni", "Ni"], "frac_coords": [[0.079, 0.079, 0.233], [0.921, 0.921, 0.767], [0.211, 0.211, 0.638], [0.500, 0.500, 0.500], [0.789, 0.789, 0.362], [0.357, 0.357, 0.076], [0.643, 0.643, 0.924]]}


{"formula": "Ta2Co4Ni", "functional": "PBE", "state": "optimized geometry", "formation_enthalpy_0k_ev_per_fu": -0.1, "dos_at_fermi_per_ev_fu": 8.55, "magnetic_moment_mub_per_atom": 0.402, "mass_density_g_cm3": 11.90, "crystal_system": "tetragonal", "lattice": [[-1.669, 1.669, 8.222], [1.669, -1.669, 8.222], [1.669, 1.669, -8.222]], "species": ["Ta", "Ta", "Co", "Co", "Co", "Co", "Ni"], "frac_coords": [[0.093, 0.093, 0.000], [0.907, 0.907, 0.000], [0.250, 0.750, 0.500], [0.355, 0.355, 0.000], [0.645, 0.645, 0.000], [0.750, 0.250, 0.500], [0.500, 0.500, 0.000]]}


{"formula": "TaCoNi6", "functional": "PBE", "state": "optimized geometry", "formation_enthalpy_0k_ev_per_fu": -1.1, "dos_at_fermi_per_ev_fu": 11.24, "magnetic_moment_mub_per_atom": 0.394, "mass_density_g_cm3": 10.51, "crystal_system": "tetragonal", "de_polymorph_ev_per_atom": 0.006, "lattice": [[5.119, 0.000, 0.000], [0.000, 5.119, 0.000], [0.000, 0.000, 3.571]], "species": ["Ta", "Co", "Ni", "Ni", "Ni", "Ni", "Ni", "Ni"], "frac_coords": [[0.000, 0.000, 0.000], [0.500, 0.500, 0.000], [0.000, 0.500, 0.000], [0.256, 0.256, 0.500], [0.256, 0.744, 0.500], [0.500, 0.000, 0.000], [0.744, 0.256, 0.500], [0.744, 0.744, 0.500]]}


{"formula": "TaCo3Ni", "functional": "PBE", "state": "optimized geometry", "formation_enthalpy_0k_ev_per_fu": 1.8, "dos_at_fermi_per_ev_fu": 7.85, "magnetic_moment_mub_per_atom": 0.628, "mass_density_g_cm3": 10.65, "crystal_system": "hexagonal", "de_polymorph_ev_per_atom": 0.000, "lattice": [[5.733, 0.000, 0.000], [-2.866, 4.965, 0.000], [0.000, 0.000, 4.563]], "species": ["Ta", "Ta", "Co", "Co", "Co", "Co", "Co", "Co", "Ni", "Ni"], "frac_coords": [[0.333, 0.667, 0.250], [0.667, 0.333, 0.750], [0.201, 0.401, 0.750], [0.201, 0.799, 0.750], [0.401, 0.201, 0.250], [0.599, 0.799, 0.750], [0.799, 0.201, 0.250], [0.799, 0.599, 0.250], [0.000, 0.000, 0.000], [0.000, 0.000, 0.500]]}


{"formula": "TaCo2Ni8", "functional": "PBE", "state": "optimized geometry", "formation_enthalpy_0k_ev_per_fu": 0.7, "dos_at_fermi_per_ev_fu": 13.14, "magnetic_moment_mub_per_atom": 0.504, "mass_density_g_cm3": 9.83, "crystal_system": "monoclinic", "lattice": [[6.101, -2.348, 0.000], [6.101, 2.348, 0.000], [-1.361, 0.000, 4.531]], "species": ["Ta", "Co", "Co", "Ni", "Ni", "Ni", "Ni", "Ni", "Ni", "Ni", "Ni"], "frac_coords": [[0.000, 0.000, 0.000], [0.259, 0.259, 0.930], [0.741, 0.741, 0.070], [0.158, 0.650, 0.334], [0.212, 0.212, 0.379], [0.350, 0.842, 0.666], [0.421, 0.421, 0.791], [0.579, 0.579, 0.209], [0.650, 0.158, 0.334], [0.788, 0.788, 0.621], [0.842, 0.350, 0.666]]}


{"formula": "Ta4CoNi", "functional": "PBE", "state": "optimized geometry", "formation_enthalpy_0k_ev_per_fu": -1.5, "dos_at_fermi_per_ev_fu": 6.19, "magnetic_moment_mub_per_atom": 0.000, "mass_density_g_cm3": 14.84, "crystal_system": "tetragonal", "de_polymorph_ev_per_atom": 0.005, "lattice": [[6.191, 0.000, 0.000], [0.000, 6.191, 0.000], [0.000, 0.000, 4.914]], "species": ["Ta", "Ta", "Ta", "Ta", "Ta", "Ta", "Ta", "Ta", "Co", "Co", "Ni", "Ni"], "frac_coords": [[0.157, 0.338, 0.000], [0.157, 0.662, 0.500], [0.338, 0.157, 0.500], [0.338, 0.843, 0.000], [0.662, 0.157, 0.000], [0.662, 0.843, 0.500], [0.843, 0.338, 0.500], [0.843, 0.662, 0.000], [0.000, 0.000, 0.250], [0.000, 0.000, 0.750], [0.500, 0.500, 0.250], [0.500, 0.500, 0.750]]}


{"formula": "Ta2Co3Ni3", "functional": "PBE", "state": "optimized geometry", "formation_enthalpy_0k_ev_per_fu": -2.4, "dos_at_fermi_per_ev_fu": 7.32, "magnetic_moment_mub_per_atom": 0.040, "mass_density_g_cm3": 12.17, "crystal_system": "orthorhombic", "lattice": [[3.659, 0.000, 0.000], [0.000, 3.723, 0.000], [0.000, 0.000, 7.159]], "species": ["Ta", "Ta", "Co", "Co", "Co", "Ni", "Ni", "Ni"], "frac_coords": [[0.000, 0.000, 0.246], [0.000, 0.000, 0.754], [0.000, 0.500, 0.000], [0.500, 0.000, 0.000], [0.500, 0.000, 0.500], [0.000, 0.500, 0.500], [0.500, 0.500, 0.249], [0.500, 0.500, 0.751]]}


{"formula": "TaCo2Ni6", "functional": "PBE", "state": "optimized geometry", "formation_enthalpy_0k_ev_per_fu": 0.0, "dos_at_fermi_per_ev_fu": 11.66, "magnetic_moment_mub_per_atom": 0.419, "mass_density_g_cm3": 10.24, "crystal_system": "monoclinic", "lattice": [[4.639, -4.274, 0.000], [4.639, 4.274, 0.000], [-3.840, 0.000, 5.326]], "species": ["Ta", "Ta", "Co", "Co", "Co", "Co", "Ni", "Ni", "Ni", "Ni", "Ni", "Ni", "Ni", "Ni", "Ni", "Ni", "Ni", "Ni"], "frac_coords": [[0.153, 0.847, 0.750], [0.847, 0.153, 0.250], [0.227, 0.426, 0.575], [0.426, 0.227, 0.075], [0.574, 0.773, 0.925], [0.773, 0.574, 0.425], [0.010, 0.220, 0.699], [0.084, 0.372, 0.139], [0.220, 0.010, 0.199], [0.329, 0.587, 0.032], [0.372, 0.084, 0.639], [0.413, 0.671, 0.468], [0.587, 0.329, 0.532], [0.628, 0.916, 0.361], [0.671, 0.413, 0.968], [0.780, 0.990, 0.801], [0.916, 0.628, 0.861], [0.990, 0.780, 0.301]]}


{"formula": "Ta4CoNi", "functional": "PBE", "state": "optimized geometry", "formation_enthalpy_0k_ev_per_fu": -1.5, "dos_at_fermi_per_ev_fu": 5.28, "magnetic_moment_mub_per_atom": 0.000, "mass_density_g_cm3": 14.85, "crystal_system": "tetragonal", "de_polymorph_ev_per_atom": 0.000, "lattice": [[-3.092, 3.092, 2.459], [3.092, -3.092, 2.459], [3.092, 3.092, -2.459]], "species": ["Ta", "Ta", "Ta", "Ta", "Co", "Ni"], "frac_coords": [[0.090, 0.590, 0.180], [0.410, 0.910, 0.820], [0.590, 0.410, 0.500], [0.910, 0.090, 0.500], [0.500, 0.500, 0.000], [0.000, 0.000, 0.000]]}


{"formula": "Ta4CoNi", "functional": "PBE", "state": "optimized geometry", "formation_enthalpy_0k_ev_per_fu": 4.1, "dos_at_fermi_per_ev_fu": 5.44, "magnetic_moment_mub_per_atom": 0.176, "mass_density_g_cm3": 13.27, "crystal_system": "cubic", "de_polymorph_ev_per_atom": 0.939, "lattice": [[0.000, 3.748, 3.748], [3.748, 0.000, 3.748], [3.748, 3.748, 0.000]], "species": ["Ta", "Ta", "Ta", "Ta", "Co", "Ni"], "frac_coords": [[0.125, 0.125, 0.125], [0.125, 0.125, 0.626], [0.125, 0.626, 0.125], [0.626, 0.125, 0.125], [0.750, 0.750, 0.750], [0.500, 0.500, 0.500]]}


{"formula": "TaCoNi14", "functional": "PBE", "state": "optimized geometry", "formation_enthalpy_0k_ev_per_fu": -0.6, "dos_at_fermi_per_ev_fu": 25.93, "magnetic_moment_mub_per_atom": 0.480, "mass_density_g_cm3": 9.75, "crystal_system": "orthorhombic", "lattice": [[8.226, 0.000, 0.000], [0.000, 2.517, 4.367], [0.000, -2.517, 4.367]], "species": ["Ta", "Co", "Ni", "Ni", "Ni", "Ni", "Ni", "Ni", "Ni", "Ni", "Ni", "Ni", "Ni", "Ni", "Ni", "Ni"], "frac_coords": [[0.000, 0.000, 0.000], [0.000, 0.499, 0.499], [0.000, 0.001, 0.499], [0.000, 0.499, 0.001], [0.248, 0.665, 0.665], [0.253, 0.168, 0.662], [0.253, 0.662, 0.168], [0.254, 0.167, 0.167], [0.500, 0.333, 0.333], [0.500, 0.334, 0.833], [0.500, 0.832, 0.832], [0.500, 0.833, 0.334], [0.746, 0.167, 0.167], [0.747, 0.168, 0.662], [0.747, 0.662, 0.168], [0.752, 0.665, 0.665]]}


{"formula": "TaCo3Ni", "functional": "PBE", "state": "optimized geometry", "formation_enthalpy_0k_ev_per_fu": 5.3, "dos_at_fermi_per_ev_fu": 10.31, "magnetic_moment_mub_per_atom": 1.089, "mass_density_g_cm3": 9.40, "crystal_system": "cubic", "de_polymorph_ev_per_atom": 0.706, "lattice": [[4.190, 0.000, 0.000], [0.000, 4.190, 0.000], [0.000, 0.000, 4.190]], "species": ["Ta", "Co", "Co", "Co", "Ni"], "frac_coords": [[0.000, 0.000, 0.000], [0.000, 0.500, 0.500], [0.500, 0.000, 0.500], [0.500, 0.500, 0.000], [0.500, 0.500, 0.500]]}


{"formula": "TaCoNi6", "functional": "PBE", "state": "optimized geometry", "formation_enthalpy_0k_ev_per_fu": -1.1, "dos_at_fermi_per_ev_fu": 8.85, "magnetic_moment_mub_per_atom": 0.417, "mass_density_g_cm3": 10.51, "crystal_system": "orthorhombic", "de_polymorph_ev_per_atom": 0.000, "lattice": [[3.591, -5.107, 0.000], [3.591, 5.107, 0.000], [0.000, 0.000, 10.203]], "species": ["Ta", "Ta", "Ta", "Ta", "Co", "Co", "Co", "Co", "Ni", "Ni", "Ni", "Ni", "Ni", "Ni", "Ni", "Ni", "Ni", "Ni", "Ni", "Ni", "Ni", "Ni", "Ni", "Ni", "Ni", "Ni", "Ni", "Ni", "Ni", "Ni", "Ni", "Ni"], "frac_coords": [[0.000, 0.000, 0.245], [0.000, 0.000, 0.755], [0.245, 0.755, 0.500], [0.755, 0.245, 0.500], [0.243, 0.757, 0.000], [0.500, 0.500, 0.243], [0.500, 0.500, 0.757], [0.757, 0.243, 0.000], [0.000, 0.000, 0.000], [0.000, 0.000, 0.500], [0.129, 0.381, 0.123], [0.129, 0.381, 0.877], [0.131, 0.379, 0.372], [0.131, 0.379, 0.628], [0.252, 0.748, 0.246], [0.252, 0.748, 0.754], [0.379, 0.131, 0.372], [0.379, 0.131, 0.628], [0.381, 0.129, 0.123], [0.381, 0.129, 0.877], [0.500, 0.500, 0.000], [0.500, 0.500, 0.500], [0.619, 0.871, 0.123], [0.619, 0.871, 0.877], [0.621, 0.869, 0.372], [0.621, 0.869, 0.628], [0.748, 0.252, 0.246], [0.748, 0.252, 0.754], [0.869, 0.621, 0.372], [0.869, 0.621, 0.628], [0.871, 0.619, 0.123], [0.871, 0.619, 0.877]]}


{"formula": "Ta2CoNi9", "functional": "PBE", "state": "optimized geometry", "formation_enthalpy_0k_ev_per_fu": -1.8, "dos_at_fermi_per_ev_fu": 14.83, "magnetic_moment_mub_per_atom": 0.194, "mass_density_g_cm3": 10.96, "crystal_system": "triclinic", "lattice": [[4.595, 0.000, 0.000], [1.834, 5.605, 0.000], [1.668, 2.172, 5.584]], "species": ["Ta", "Ta", "Co", "Ni", "Ni", "Ni", "Ni", "Ni", "Ni", "Ni", "Ni", "Ni"], "frac_coords": [[0.100, 0.498, 0.236], [0.900, 0.502, 0.764], [0.000, 0.000, 0.000], [0.190, 0.961, 0.341], [0.289, 0.150, 0.605], [0.301, 0.710, 0.788], [0.423, 0.235, 0.942], [0.500, 0.500, 0.500], [0.577, 0.765, 0.058], [0.699, 0.290, 0.212], [0.711, 0.850, 0.395], [0.810, 0.039, 0.659]]}


{"formula": "Ta2CoNi6", "functional": "PBE", "state": "optimized geometry", "formation_enthalpy_0k_ev_per_fu": -2.1, "dos_at_fermi_per_ev_fu": 7.58, "magnetic_moment_mub_per_atom": 0.000, "mass_density_g_cm3": 11.62, "crystal_system": "monoclinic", "lattice": [[5.548, -1.799, 0.000], [5.548, 1.799, 0.000], [-1.915, 0.000, 5.535]], "species": ["Ta", "Ta", "Co", "Ni", "Ni", "Ni", "Ni", "Ni", "Ni"], "frac_coords": [[0.060, 0.060, 0.315], [0.940, 0.940, 0.685], [0.500, 0.500, 0.000], [0.171, 0.171, 0.001], [0.275, 0.275, 0.671], [0.390, 0.390, 0.330], [0.610, 0.610, 0.670], [0.725, 0.725, 0.329], [0.829, 0.829, 0.999]]}


{"formula": "TaCo2TcNi", "functional": "PBE", "state": "optimized geometry", "formation_enthalpy_0k_ev_per_fu": 8.0, "dos_at_fermi_per_ev_fu": 6.22, "magnetic_moment_mub_per_atom": 0.799, "mass_density_g_cm3": 8.76, "crystal_system": "tetragonal", "lattice": [[4.390, 0.000, 0.000], [0.000, 4.390, 0.000], [0.000, 0.000, 4.480]], "species": ["Ta", "Co", "Co", "Tc", "Ni"], "frac_coords": [[0.000, 0.000, 0.000], [0.000, 0.500, 0.000], [0.500, 0.000, 0.000], [0.500, 0.500, 0.500], [0.000, 0.000, 0.500]]}


{"formula": "TaVCoNi", "functional": "PBE", "state": "optimized geometry", "formation_enthalpy_0k_ev_per_fu": -0.2, "dos_at_fermi_per_ev_fu": 5.57, "magnetic_moment_mub_per_atom": 0.613, "mass_density_g_cm3": 10.76, "crystal_system": "cubic", "lattice": [[0.000, 2.999, 2.999], [2.999, 0.000, 2.999], [2.999, 2.999, 0.000]], "species": ["Ta", "V", "Co", "Ni"], "frac_coords": [[0.000, 0.000, 0.000], [0.500, 0.500, 0.500], [0.750, 0.750, 0.750], [0.250, 0.250, 0.250]]}


{"formula": "TaCoNiW2", "functional": "PBE", "state": "optimized geometry", "formation_enthalpy_0k_ev_per_fu": 5.6, "dos_at_fermi_per_ev_fu": 6.17, "magnetic_moment_mub_per_atom": 0.000, "mass_density_g_cm3": 13.34, "crystal_system": "tetragonal", "lattice": [[4.418, 0.000, 0.000], [0.000, 4.418, 0.000], [0.000, 0.000, 4.249]], "species": ["Ta", "Co", "Ni", "W", "W"], "frac_coords": [[0.000, 0.000, 0.000], [0.500, 0.500, 0.500], [0.500, 0.500, 0.000], [0.000, 0.500, 0.500], [0.500, 0.000, 0.500]]}


{"formula": "TaZnCoNi", "functional": "PBE", "state": "optimized geometry", "formation_enthalpy_0k_ev_per_fu": -0.8, "dos_at_fermi_per_ev_fu": 4.45, "magnetic_moment_mub_per_atom": 0.009, "mass_density_g_cm3": 11.51, "crystal_system": "cubic", "de_polymorph_ev_per_atom": 0.007, "lattice": [[0.000, 2.972, 2.972], [2.972, 0.000, 2.972], [2.972, 2.972, 0.000]], "species": ["Ta", "Zn", "Co", "Ni"], "frac_coords": [[0.000, 0.000, 0.000], [0.500, 0.500, 0.500], [0.250, 0.250, 0.250], [0.750, 0.750, 0.750]]}


{"formula": "TaZnCoNi", "functional": "PBE", "state": "optimized geometry", "formation_enthalpy_0k_ev_per_fu": -0.9, "dos_at_fermi_per_ev_fu": 1.72, "magnetic_moment_mub_per_atom": 0.000, "mass_density_g_cm3": 11.58, "crystal_system": "tetragonal", "de_polymorph_ev_per_atom": 0.000, "lattice": [[-1.934, 1.934, 3.491], [1.934, -1.934, 3.491], [1.934, 1.934, -3.491]], "species": ["Ta", "Zn", "Co", "Ni"], "frac_coords": [[0.000, 0.000, 0.000], [0.500, 0.500, 0.000], [0.750, 0.250, 0.500], [0.250, 0.750, 0.500]]}


{"formula": "ZrTaCoNi", "functional": "PBE", "state": "optimized geometry", "formation_enthalpy_0k_ev_per_fu": -0.7, "dos_at_fermi_per_ev_fu": 4.77, "magnetic_moment_mub_per_atom": 0.189, "mass_density_g_cm3": 10.48, "crystal_system": "cubic", "lattice": [[0.000, 3.137, 3.137], [3.137, 0.000, 3.137], [3.137, 3.137, 0.000]], "species": ["Zr", "Ta", "Co", "Ni"], "frac_coords": [[0.000, 0.000, 0.000], [0.500, 0.500, 0.500], [0.250, 0.250, 0.250], [0.750, 0.750, 0.750]]}